No. 1
# KSn3H (PBE, optimized geometry)
# * E: -3.31 eV/atom
# * crystal system: monoclinic
# * relative energy among the computed polymorphs: 0.0000 eV per atom
data_KSn3H
_chemical_formula_sum 'K2 Sn6 H2'
_space_group_name_H-M_alt 'P 1'
_space_group_IT_number 1
_space_group_name_Hall 'P 1'
_cell_length_a 5.697
_cell_length_b 7.140
_cell_length_c 6.780
_cell_angle_alpha 89.96
_cell_angle_beta 89.98
_cell_angle_gamma 90.00
loop_
_atom_site_label
_atom_site_type_symbol
_atom_site_fract_x
_atom_site_fract_y
_atom_site_fract_z
K1 K 0.376 0.271 0.701
K2 K 0.876 0.081 0.201
Sn1 Sn 0.375 0.452 0.201
Sn2 Sn 0.375 0.805 0.947
Sn3 Sn 0.875 0.548 0.448
Sn4 Sn 0.876 0.901 0.701
Sn5 Sn 0.875 0.547 0.954
Sn6 Sn 0.375 0.805 0.454
H1 H 0.375 0.656 0.701
H2 H 0.875 0.697 0.200



No. 2
# Ti2VPt2 (PBE, optimized geometry)
# * E: -7.87 eV/atom
# * crystal system: tetragonal
# * relative energy among the computed polymorphs: 0.0622 eV per atom
data_Ti2VPt2
_chemical_formula_sum 'Ti4 V2 Pt4'
_space_group_name_H-M_alt 'P 1'
_space_group_IT_number 1
_space_group_name_Hall 'P 1'
_cell_length_a 7.434
_cell_length_b 7.434
_cell_length_c 2.927
_cell_angle_alpha 90.00
_cell_angle_beta 90.00
_cell_angle_gamma 90.00
loop_
_atom_site_label
_atom_site_type_symbol
_atom_site_fract_x
_atom_site_fract_y
_atom_site_fract_z
V1 V 0.000 0.000 0.000
V2 V 0.500 0.500 0.000
Pt1 Pt 0.140 0.640 0.500
Pt2 Pt 0.640 0.860 0.500
Pt3 Pt 0.860 0.360 0.500
Pt4 Pt 0.360 0.140 0.500
Ti1 Ti 0.339 0.839 0.000
Ti2 Ti 0.839 0.661 0.000
Ti3 Ti 0.661 0.161 0.000
Ti4 Ti 0.161 0.339 0.000



No. 3
# PaTiPbO6 (PBE, optimized geometry)
# * E: -8.24 eV/atom
# * crystal system: trigonal
data_PaTiPbO6
_chemical_formula_sum 'Pa2 Ti2 Pb2 O12'
_space_group_name_H-M_alt 'P 1'
_space_group_IT_number 1
_space_group_name_Hall 'P 1'
_cell_length_a 5.591
_cell_length_b 5.591
_cell_length_c 9.751
_cell_angle_alpha 90.00
_cell_angle_beta 90.00
_cell_angle_gamma 120.00
loop_
_atom_site_label
_atom_site_type_symbol
_atom_site_fract_x
_atom_site_fract_y
_atom_site_fract_z
Pa1 Pa 0.333 0.667 0.250
Pa2 Pa 0.667 0.333 0.750
Ti1 Ti 0.667 0.333 0.250
Ti2 Ti 0.333 0.667 0.750
Pb1 Pb 0.000 0.000 0.000
Pb2 Pb 0.000 0.000 0.500
O1 O 0.649 0.624 0.141
O2 O 0.975 0.351 0.141
O3 O 0.351 0.975 0.641
O4 O 0.025 0.649 0.859
O5 O 0.376 0.351 0.359
O6 O 0.975 0.624 0.359
O7 O 0.624 0.975 0.859
O8 O 0.649 0.025 0.359
O9 O 0.025 0.376 0.641
O10 O 0.376 0.025 0.141
O11 O 0.624 0.649 0.641
O12 O 0.351 0.376 0.859



No. 4
# YScGaAg (PBE, optimized geometry)
# * E: -5.13 eV/atom
# * crystal system: cubic
data_YScGaAg
_chemical_formula_sum 'Y1 Sc1 Ga1 Ag1'
_space_group_name_H-M_alt 'P 1'
_space_group_IT_number 1
_space_group_name_Hall 'P 1'
_cell_length_a 4.976
_cell_length_b 4.976
_cell_length_c 4.976
_cell_angle_alpha 60.00
_cell_angle_beta 60.00
_cell_angle_gamma 60.00
loop_
_atom_site_label
_atom_site_type_symbol
_atom_site_fract_x
_atom_site_fract_y
_atom_site_fract_z
Y1 Y 0.750 0.750 0.750
Sc1 Sc 0.250 0.250 0.250
Ga1 Ga 0.500 0.500 0.500
Ag1 Ag 0.000 0.000 0.000



No. 5
# Pm4Pr5 (PBE, optimized geometry)
# * E: -4.75 eV/atom
# * crystal system: orthorhombic
# * relative energy among the computed polymorphs: 0.0000 eV per atom
data_Pm4Pr5
_chemical_formula_sum 'Pm4 Pr5'
_space_group_name_H-M_alt 'P 1'
_space_group_IT_number 1
_space_group_name_Hall 'P 1'
_cell_length_a 5.213
_cell_length_b 8.248
_cell_length_c 8.248
_cell_angle_alpha 84.30
_cell_angle_beta 71.55
_cell_angle_gamma 71.55
loop_
_atom_site_label
_atom_site_type_symbol
_atom_site_fract_x
_atom_site_fract_y
_atom_site_fract_z
Pm1 Pm 0.333 0.667 0.667
Pm2 Pm 0.333 0.000 0.333
Pm3 Pm 0.667 0.667 0.000
Pm4 Pm 0.667 0.333 0.333
Pr1 Pr 0.000 0.999 0.001
Pr2 Pr 0.000 0.334 0.666
Pr3 Pr 0.000 0.667 0.333
Pr4 Pr 0.332 0.334 0.001
Pr5 Pr 0.668 0.999 0.666



No. 6
# NaY2SnH (PBE, optimized geometry)
# * E: -4.72 eV/atom
# * crystal system: tetragonal
data_NaY2SnH
_chemical_formula_sum 'Na1 Y2 Sn1 H1'
_space_group_name_H-M_alt 'P 1'
_space_group_IT_number 1
_space_group_name_Hall 'P 1'
_cell_length_a 4.867
_cell_length_b 4.867
_cell_length_c 4.565
_cell_angle_alpha 90.00
_cell_angle_beta 90.00
_cell_angle_gamma 90.00
loop_
_atom_site_label
_atom_site_type_symbol
_atom_site_fract_x
_atom_site_fract_y
_atom_site_fract_z
Y1 Y 0.000 0.500 0.000
Y2 Y 0.500 0.000 0.000
Na1 Na 0.000 0.000 0.500
Sn1 Sn 0.500 0.500 0.500
H1 H 0.000 0.000 0.000



No. 7
# UCdSb2 (PBE, optimized geometry)
# * E: -5.21 eV/atom
# * crystal system: tetragonal
# * relative energy among the computed polymorphs: 0.0996 eV per atom
data_UCdSb2
_chemical_formula_sum 'U1 Cd1 Sb2'
_space_group_name_H-M_alt 'P 1'
_space_group_IT_number 1
_space_group_name_Hall 'P 1'
_cell_length_a 3.971
_cell_length_b 3.971
_cell_length_c 6.610
_cell_angle_alpha 90.00
_cell_angle_beta 90.00
_cell_angle_gamma 90.00
loop_
_atom_site_label
_atom_site_type_symbol
_atom_site_fract_x
_atom_site_fract_y
_atom_site_fract_z
Sb1 Sb 0.000 0.000 0.765
Sb2 Sb 0.000 0.000 0.235
U1 U 0.500 0.500 0.000
Cd1 Cd 0.500 0.500 0.500



No. 8
# Ce3PuRh3 (PBE, optimized geometry)
# * E: -8.26 eV/atom
# * crystal system: monoclinic
data_Ce3PuRh3
_chemical_formula_sum 'Ce6 Pu2 Rh6'
_space_group_name_H-M_alt 'P 1'
_space_group_IT_number 1
_space_group_name_Hall 'P 1'
_cell_length_a 6.778
_cell_length_b 6.777
_cell_length_c 7.178
_cell_angle_alpha 89.99
_cell_angle_beta 89.98
_cell_angle_gamma 100.46
loop_
_atom_site_label
_atom_site_type_symbol
_atom_site_fract_x
_atom_site_fract_y
_atom_site_fract_z
Ce1 Ce 0.634 0.634 0.377
Ce2 Ce 0.178 0.822 0.500
Ce3 Ce 0.822 0.178 0.500
Ce4 Ce 0.249 0.751 0.000
Ce5 Ce 0.751 0.249 0.000
Ce6 Ce 0.366 0.366 0.623
Pu1 Pu 0.744 0.744 0.869
Pu2 Pu 0.256 0.256 0.131
Rh1 Rh 0.934 0.934 0.205
Rh2 Rh 0.998 0.492 0.729
Rh3 Rh 0.492 0.998 0.729
Rh4 Rh 0.002 0.508 0.271
Rh5 Rh 0.508 0.002 0.271
Rh6 Rh 0.066 0.066 0.795



No. 9
# PmEuPPd (PBE, optimized geometry)
# * E: -7.28 eV/atom
# * crystal system: cubic
data_PmEuPPd
_chemical_formula_sum 'Pm1 Eu1 P1 Pd1'
_space_group_name_H-M_alt 'P 1'
_space_group_IT_number 1
_space_group_name_Hall 'P 1'
_cell_length_a 5.073
_cell_length_b 5.073
_cell_length_c 5.073
_cell_angle_alpha 60.00
_cell_angle_beta 60.00
_cell_angle_gamma 60.00
loop_
_atom_site_label
_atom_site_type_symbol
_atom_site_fract_x
_atom_site_fract_y
_atom_site_fract_z
Eu1 Eu 0.250 0.250 0.250
P1 P 0.000 0.000 0.000
Pd1 Pd 0.500 0.500 0.500
Pm1 Pm 0.750 0.750 0.750



No. 10
# Li3GaF6 (PBE, optimized geometry)
# * E: -4.86 eV/atom
# * crystal system: monoclinic
# * relative energy among the computed polymorphs: 0.0000 eV per atom
data_Li3GaF6
_chemical_formula_sum 'Li18 Ga6 F36'
_space_group_name_H-M_alt 'P 1'
_space_group_IT_number 1
_space_group_name_Hall 'P 1'
_cell_length_a 8.490
_cell_length_b 8.490
_cell_length_c 10.169
_cell_angle_alpha 85.70
_cell_angle_beta 85.70
_cell_angle_gamma 61.66
loop_
_atom_site_label
_atom_site_type_symbol
_atom_site_fract_x
_atom_site_fract_y
_atom_site_fract_z
Li1 Li 0.873 0.465 0.447
Li2 Li 0.535 0.127 0.053
Li3 Li 0.127 0.535 0.553
Li4 Li 0.465 0.873 0.947
Li5 Li 0.707 0.008 0.772
Li6 Li 0.992 0.293 0.728
Li7 Li 0.192 0.808 0.750
Li8 Li 0.808 0.192 0.250
Li9 Li 0.654 0.940 0.431
Li10 Li 0.060 0.346 0.069
Li11 Li 0.346 0.060 0.569
Li12 Li 0.940 0.654 0.931
Li13 Li 0.327 0.628 0.038
Li14 Li 0.372 0.673 0.462
Li15 Li 0.673 0.372 0.962
Li16 Li 0.628 0.327 0.538
Li17 Li 0.293 0.992 0.228
Li18 Li 0.008 0.707 0.272
Ga1 Ga 0.664 0.660 0.203
Ga2 Ga 0.340 0.336 0.297
Ga3 Ga 0.336 0.340 0.797
Ga4 Ga 0.660 0.664 0.703
Ga5 Ga 0.000 0.000 0.500
Ga6 Ga 0.000 0.000 0.000
F1 F 0.242 0.557 0.195
F2 F 0.228 0.269 0.664
F3 F 0.269 0.228 0.164
F4 F 0.772 0.731 0.336
F5 F 0.762 0.084 0.940
F6 F 0.916 0.238 0.560
F7 F 0.238 0.916 0.060
F8 F 0.084 0.762 0.440
F9 F 0.731 0.772 0.836
F10 F 0.763 0.091 0.435
F11 F 0.091 0.763 0.935
F12 F 0.237 0.909 0.565
F13 F 0.443 0.758 0.305
F14 F 0.429 0.412 0.934
F15 F 0.412 0.429 0.434
F16 F 0.571 0.588 0.066
F17 F 0.586 0.891 0.606
F18 F 0.109 0.414 0.894
F19 F 0.414 0.109 0.394
F20 F 0.891 0.586 0.106
F21 F 0.926 0.934 0.167
F22 F 0.066 0.074 0.333
F23 F 0.074 0.066 0.833
F24 F 0.934 0.926 0.667
F25 F 0.758 0.443 0.805
F26 F 0.557 0.242 0.695
F27 F 0.109 0.431 0.388
F28 F 0.588 0.571 0.566
F29 F 0.891 0.569 0.612
F30 F 0.431 0.109 0.888
F31 F 0.245 0.565 0.699
F32 F 0.435 0.755 0.801
F33 F 0.755 0.435 0.301
F34 F 0.565 0.245 0.199
F35 F 0.909 0.237 0.065
F36 F 0.569 0.891 0.112



No. 11
# AgHPd3 (PBE, optimized geometry)
# * E: -4.41 eV/atom
# * crystal system: monoclinic
# * relative energy among the computed polymorphs: 0.0148 eV per atom
data_AgHPd3
_chemical_formula_sum 'Ag2 H2 Pd6'
_space_group_name_H-M_alt 'P 1'
_space_group_IT_number 1
_space_group_name_Hall 'P 1'
_cell_length_a 21.927
_cell_length_b 7.586
_cell_length_c 7.586
_cell_angle_alpha 149.13
_cell_angle_beta 160.64
_cell_angle_gamma 19.36
loop_
_atom_site_label
_atom_site_type_symbol
_atom_site_fract_x
_atom_site_fract_y
_atom_site_fract_z
H1 H 0.807 0.088 0.912
H2 H 0.193 0.912 0.088
Pd1 Pd 0.065 0.811 0.189
Pd2 Pd 0.935 0.189 0.811
Pd3 Pd 0.815 0.557 0.443
Pd4 Pd 0.185 0.443 0.557
Pd5 Pd 0.437 0.688 0.312
Pd6 Pd 0.563 0.312 0.688
Ag1 Ag 0.687 0.937 0.063
Ag2 Ag 0.313 0.063 0.937



No. 12
# YCuSn2 (PBE, optimized geometry)
# * E: -4.52 eV/atom
# * crystal system: trigonal
data_YCuSn2
_chemical_formula_sum 'Y1 Cu1 Sn2'
_space_group_name_H-M_alt 'P 1'
_space_group_IT_number 1
_space_group_name_Hall 'P 1'
_cell_length_a 3.426
_cell_length_b 3.426
_cell_length_c 10.310
_cell_angle_alpha 80.44
_cell_angle_beta 80.44
_cell_angle_gamma 60.00
loop_
_atom_site_label
_atom_site_type_symbol
_atom_site_fract_x
_atom_site_fract_y
_atom_site_fract_z
Y1 Y 0.000 0.000 0.000
Sn1 Sn 0.103 0.103 0.691
Sn2 Sn 0.897 0.897 0.309
Cu1 Cu 0.500 0.500 0.500



Question: What is the E in the twelfth record?
Answer: -4.52 eV/atom